Re2PdCN: optimized geometry, PBE-GGA.

The structure in POSCAR format:
```
Re2PdCN
1.0
4.986 0.000 0.000
0.000 4.986 0.000
0.000 0.000 3.579
Re Pd C N
2 1 1 1
Direct
0.000 0.500 0.000
0.500 0.000 0.000
0.000 0.000 0.000
0.500 0.500 0.500
0.000 0.000 0.500
```

Values from the calculation:
Space-group type: No. 123
Formation energy without anion corrections in eV/atom: 3.4450
Volume in Å³/f.u.: 89.0
Calculated total energy in eV for the cell shown: -30.4
D(E_F) in states/eV/f.u.: 3.25